(1)
Below is a relaxed FePd4 crystal, with properties calculated at the GGA-PBE level. Values from VASP.

V   157.7 Å³/cell
Symmetry   C2/m (12)

Structure (Quantum ESPRESSO input):
```
&SYSTEM
  ibrav = 0, nat = 10, ntyp = 2
/
ATOMIC_SPECIES
Pd 106.42 Pd.upf
Fe 55.84 Fe.upf
ATOMIC_POSITIONS crystal
Pd 0.886 0.384 0.296
Pd 0.648 0.648 0.628
Fe 0.628 0.628 0.001
Pd 0.918 0.918 0.214
Fe 0.372 0.372 0.999
Pd 0.082 0.082 0.786
Pd 0.114 0.616 0.704
Pd 0.616 0.114 0.704
Pd 0.352 0.352 0.372
Pd 0.384 0.886 0.296
CELL_PARAMETERS angstrom
5.353 0.046 1.113
2.701 4.622 1.113
1.833 1.062 6.913
```

***

(2)
Below is a relaxed FePd4 crystal, with properties calculated at the GGA-PBE level. Values from VASP.

V   152.0 Å³/cell
Symmetry   Imma (74)

Structure (Quantum ESPRESSO input):
```
&SYSTEM
  ibrav = 0, nat = 10, ntyp = 2
/
ATOMIC_SPECIES
Pd 106.42 Pd.upf
Fe 55.84 Fe.upf
ATOMIC_POSITIONS crystal
Pd 0.692 0.694 0.383
Pd 0.308 0.306 0.617
Pd 0.500 0.500 0.000
Pd 0.097 0.347 0.194
Pd 0.903 0.653 0.806
Pd 0.692 0.189 0.383
Fe 0.897 0.147 0.793
Pd 0.500 0.000 0.000
Pd 0.308 0.811 0.617
Fe 0.103 0.853 0.207
CELL_PARAMETERS angstrom
3.904 0.000 -1.140
-0.604 4.971 -2.070
0.124 0.258 7.678
```

***

(3)
Below is a relaxed FePd4 crystal, with properties calculated at the GGA-PBE level. Values from VASP.

V   93.9 Å³/cell
Symmetry   Pm-3m (221)

Structure (Quantum ESPRESSO input):
```
&SYSTEM
  ibrav = 0, nat = 5, ntyp = 2
/
ATOMIC_SPECIES
Pd 106.42 Pd.upf
Fe 55.84 Fe.upf
ATOMIC_POSITIONS crystal
Pd 0.500 0.000 0.500
Fe 0.500 0.500 0.500
Pd 0.000 0.500 0.500
Pd 0.000 0.000 0.000
Pd 0.500 0.500 0.000
CELL_PARAMETERS angstrom
4.545 0.000 0.000
0.000 4.545 0.000
0.000 0.000 4.545
```

***

Verdict on stability: (3) comes out at the bottom.